The following is a PBE calculation of a relaxed NdGa2 crystal, from OQMD via LeMat-Bulk.

Cell lengths 7.952, 7.952, 7.952 Å; angles 90.00, 90.00, 90.00 degrees
Space group Fd-3m (No. 227, origin choice 2)
Unique sites:
Nd 0.125 0.125 0.125
Ga 0.000 0.000 0.500

Calculated values
Size of the total moment in μB/f.u.: 0.01
Calculated total energy in eV per formula unit: -12.5

=====

The following is a PBE calculation of a relaxed NdGa2 crystal, from OQMD via LeMat-Bulk.

Cell lengths 6.907, 6.907, 6.907 Å; angles 90.00, 90.00, 90.00 degrees
Space group Fm-3m (No. 225)
Unique sites:
Nd 0.000 0.000 0.000
Ga 0.250 0.250 0.250

Calculated values
Size of the total moment in μB/f.u.: 0.01
Calculated total energy in eV per formula unit: -11.1

=====

The following is a PBE calculation of a relaxed Nd2Ga crystal, from OQMD via LeMat-Bulk.

Cell lengths 8.968, 8.968, 8.968 Å; angles 90.00, 90.00, 90.00 degrees
Space group Fd-3m (No. 227, origin choice 2)
Unique sites:
Nd 0.000 0.000 0.000
Ga 0.125 0.125 0.625

Calculated values
Size of the total moment in μB/f.u.: 0.01
Calculated total energy in eV per formula unit: -11.7

=====

The following is a PBE calculation of a relaxed NdGa3 crystal, from OQMD via LeMat-Bulk.

Cell lengths 6.481, 11.214, 4.542 Å; angles 90.00, 90.00, 90.00 degrees
Space group Cmcm (No. 63)
Unique sites:
Nd 0.000 0.167 0.250
Ga 0.000 0.356 0.750
Ga 0.214 0.429 0.250

Calculated values
Size of the total moment in μB/f.u.: 0.00
Offset from the most stable computed form in eV/atom: 0.000